i | DFT (GGA-PBE) results for an optimized crystal structure of Li3Cd6Ag.

Its size of the total moment is 0.0000 μB per atom. For the calculated volume, the calculation gives 1205 Å³/cell.

The structure belongs to space group R-3 (No. 148, hexagonal axes); the cell edges are 10.4177, 10.4177 and 12.8161 Å and the angles 90.00°, 90.00° and 120.00°. The distinct sites, in fractional coordinates, are Li at (0.0317, 0.5818, 0.2074), Cd at (0.0420, 0.8557, 0.3091), Cd at (0.0617, 0.4595, 0.5853), Ag at (0.0000, 0.0000, 0.0000) and Ag at (0.0000, 0.0000, 0.5000).


ii | DFT (GGA-PBE) results for an optimized crystal structure of Li3Cd6Ag.

Its size of the total moment is 0.0000 μB per atom. For the calculated volume, the calculation gives 391 Å³/cell.

The structure belongs to space group P2_1/m (No. 11); the cell edges are 8.112, 4.888 and 10.446 Å and the angles 90.00°, 109.20° and 90.00°. The distinct sites, in fractional coordinates, are Li at (0.091, 0.250, 0.232), Li at (0.298, 0.250, 0.028), Li at (0.308, 0.750, 0.371), Cd at (0.083, 0.250, 0.727), Cd at (0.100, 0.750, 0.068), Cd at (0.288, 0.250, 0.522), Cd at (0.298, 0.750, 0.863), Cd at (0.488, 0.250, 0.332), Cd at (0.491, 0.750, 0.163) and Ag at (0.103, 0.750, 0.565).


How far above the most stable structure does each one sit? In meV per atom: i 50; ii 0.